No. 1
Density functional theory data (PBE-GGA) for SmNpTc2 after structural relaxation.

Results
- Total moment: 1.33 μB per cell
- Energy above the most stable polymorph in this dataset: 0.0 meV per atom
- Energy of formation: 0.071 eV per atom
- Symmetry: P4/mmm

abc: 3.336 3.336 7.211
angles: 90.00 90.00 90.00
Each line ends with the local moment (μB).
Sites, in units of the cell vectors:
Tc 0.000 0.000 0.199  -0.40
Tc 0.000 0.000 0.801  -0.40
Sm 0.500 0.500 0.500  0.06
Np 0.500 0.500 0.000  2.04


No. 2
Density functional theory data (PBE-GGA) for PmCu2Pt6 after structural relaxation.

Results
- Total moment: 0.00 μB per cell
- Energy of formation: 0.012 eV per atom
- Symmetry: Fd-3m

abc: 7.964 7.964 7.964
angles: 60.00 60.00 60.00
Sites, in units of the cell vectors:
Cu 0.625 0.125 0.125
Cu 0.125 0.625 0.125
Cu 0.125 0.125 0.625
Cu 0.125 0.125 0.125
Pt 0.747 0.253 0.747
Pt 0.503 0.997 0.997
Pt 0.503 0.997 0.503
Pt 0.253 0.747 0.253
Pt 0.253 0.253 0.747
Pt 0.503 0.503 0.997
Pt 0.997 0.503 0.997
Pt 0.747 0.253 0.253
Pt 0.747 0.747 0.253
Pt 0.253 0.747 0.747
Pt 0.997 0.997 0.503
Pt 0.997 0.503 0.503
Pm 0.750 0.750 0.750
Pm 0.500 0.500 0.500


No. 3
Density functional theory data (PBE-GGA) for AlPS2N after structural relaxation.

Results
- Total moment: 0.00 μB per cell
- Energy above the most stable polymorph in this dataset: 289.1 meV per atom
- Symmetry: P4/mmm
- Uncorrected formation energy: 650.2 meV per atom

abc: 4.749 4.749 3.534
angles: 90.00 90.00 90.00
Sites, in units of the cell vectors:
S 0.500 0.000 0.000
S 0.000 0.500 0.000
Al 0.000 0.000 0.000
P 0.500 0.500 0.500
N 0.000 0.000 0.500


No. 4
Density functional theory data (PBE-GGA) for P2Au after structural relaxation.

Results
- Total moment: 0.00 μB per cell
- Energy of formation: 0.508 eV per atom
- Symmetry: I4/mcm

abc: 5.201 5.201 5.201
angles: 106.75 106.75 115.05
Sites, in units of the cell vectors:
P 0.378 0.122 0.500
P 0.122 0.622 0.743
P 0.878 0.378 0.257
P 0.622 0.878 0.500
Au 0.250 0.250 0.000
Au 0.750 0.750 0.000


No. 5
Density functional theory data (PBE-GGA) for Ho12Al5Ga2 after structural relaxation.

Results
- Total moment: 0.00 μB per cell
- Energy of formation: -0.147 eV per atom
- Symmetry: C2/m

abc: 8.512 8.543 8.003
angles: 86.34 90.00 119.88
Sites, in units of the cell vectors:
Al 0.254 0.508 0.747
Al 0.000 0.000 0.500
Al 0.356 0.713 0.070
Al 0.644 0.287 0.930
Al 0.746 0.492 0.253
Ho 0.644 0.667 0.850
Ho 0.051 0.101 0.838
Ho 0.866 0.286 0.595
Ho 0.024 0.667 0.850
Ho 0.420 0.286 0.595
Ho 0.580 0.714 0.405
Ho 0.356 0.333 0.150
Ho 0.949 0.899 0.162
Ho 0.976 0.333 0.150
Ho 0.539 0.079 0.292
Ho 0.461 0.921 0.708
Ho 0.134 0.714 0.405
Ga 0.696 0.000 0.000
Ga 0.304 0.000 0.000


No. 6
Density functional theory data (PBE-GGA) for Si2SnPb2 after structural relaxation.

Results
- Total moment: 0.00 μB per cell
- Energy above the most stable polymorph in this dataset: 0.0 meV per atom
- Symmetry: I4/mmm
- Uncorrected formation energy: 230.6 meV per atom

abc: 3.507 3.507 10.532
angles: 80.42 80.42 90.00
Sites, in units of the cell vectors:
Sn 0.000 0.000 0.000
Pb 0.619 0.619 0.763
Pb 0.381 0.381 0.237
Si 0.250 0.750 0.500
Si 0.750 0.250 0.500


No. 7
Density functional theory data (PBE-GGA) for AsOs after structural relaxation.

Results
- Total moment: 0.00 μB per cell
- Energy of formation: 0.382 eV per atom
- Symmetry: P6_3/mmc

abc: 2.962 2.962 7.899
angles: 90.00 90.00 120.00
Sites, in units of the cell vectors:
Os 0.333 0.667 0.250
Os 0.667 0.333 0.750
As 0.000 0.000 0.000
As 0.000 0.000 0.500


No. 8
Density functional theory data (PBE-GGA) for ReSb2Pb after structural relaxation.

Results
- Total moment: 0.00 μB per cell
- Symmetry: Cm
- Uncorrected formation energy: 294.3 meV per atom

abc: 5.006 5.006 6.881
angles: 71.77 71.77 39.76
Sites, in units of the cell vectors:
Sb 0.072 0.072 0.870
Sb 0.225 0.225 0.221
Pb 0.420 0.420 0.512
Re 0.783 0.783 0.897


Which E_tot belongs to each record? In order, -38.11; -98.16; -22.48; -25.15; -82.49; -21.11; -30.23; -23.22 eV for the cell shown.